# 1
3
Lattice="7.027 0.005 -0.003 6.340 2.499 -0.002 0.687 -0.990 2.289" Properties=species:S:1:pos:R:3 comment="GGA-PBE LiCoOs, optimized geometry" dos_at_fermi_per_ev_fu=2.7 formation_enthalpy_0k_ev_per_atom=0.313 dft_energy_ev_per_atom=-6.437 relative_energy_mev_per_atom=206.8 space_group="Fmm2, No. 42" vol_a3_per_cell=40 density_g_cm3=10.6 pbc="T T T"
Co 0.721 -0.980 2.283
Li 4.942 0.183 1.519
Os 9.077 1.322 0.771

=====

# 2
3
Lattice="5.616 -0.027 0.000 4.359 3.541 0.000 -4.987 -1.757 1.891" Properties=species:S:1:pos:R:3 comment="GGA-PBE LiCoOs, optimized geometry" dos_at_fermi_per_ev_fu=2.6 formation_enthalpy_0k_ev_per_atom=0.276 dft_energy_ev_per_atom=-6.474 relative_energy_mev_per_atom=169.4 space_group="I4mm, No. 107" vol_a3_per_cell=38 density_g_cm3=11.2 pbc="T T T"
Co 0.058 0.020 0.000
Li 3.391 1.195 0.000
Os 6.525 2.299 0.000

=====

# 3
4
Lattice="8.749 0.017 0.010 8.350 2.610 0.010 8.350 1.282 2.273" Properties=species:S:1:pos:R:3 comment="GGA-PBE LiCo2Os, optimized geometry" dos_at_fermi_per_ev_fu=4.8 formation_enthalpy_0k_ev_per_atom=0.239 dft_energy_ev_per_atom=-6.600 relative_energy_mev_per_atom=79.4 space_group="R-3m, No. 166" vol_a3_per_cell=51 density_g_cm3=10.2 pbc="T T T"
Co 0.064 0.010 0.006
Co 12.661 1.944 1.140
Li 6.362 0.977 0.573
Os 19.087 2.931 1.719

=====

# 4
6
Lattice="-4.046 -2.716 1.477 -1.136 -0.327 -3.713 3.179 -2.535 1.296" Properties=species:S:1:pos:R:3 comment="GGA-PBE LiCoOs, optimized geometry" dos_at_fermi_per_ev_fu=2.0 formation_enthalpy_0k_ev_per_atom=0.184 dft_energy_ev_per_atom=-6.566 relative_energy_mev_per_atom=77.1 space_group="C2/m, No. 12" vol_a3_per_cell=74 density_g_cm3=11.5 pbc="T T T"
Os -1.290 -0.768 -1.339
Os -0.196 -3.015 -1.474
Co -0.204 -4.593 0.711
Co -2.149 -4.442 -0.752
Li -1.258 -2.461 0.846
Li 0.907 -0.995 0.055

=====

# 5
4
Lattice="4.585 0.001 0.000 1.693 4.261 0.000 -3.139 -2.131 2.575" Properties=species:S:1:pos:R:3 comment="GGA-PBE LiCoOs2, optimized geometry" dos_at_fermi_per_ev_fu=3.3 formation_enthalpy_0k_ev_per_atom=0.336 dft_energy_ev_per_atom=-7.534 relative_energy_mev_per_atom=137.7 space_group="I4/mmm, No. 139" vol_a3_per_cell=50 density_g_cm3=14.7 pbc="T T T"
Co 0.846 2.131 1.287
Li 2.293 0.001 1.287
Os 0.000 0.000 0.000
Os 3.139 2.131 0.000

=====

# 6
5
Lattice="-0.905 -4.029 -0.396 1.808 -0.766 3.655 -3.623 0.624 1.923" Properties=species:S:1:pos:R:3 comment="GGA-PBE Li3CoOs, optimized geometry" dos_at_fermi_per_ev_fu=3.8 formation_enthalpy_0k_ev_per_atom=1.300 dft_energy_ev_per_atom=-3.516 relative_energy_mev_per_atom=0.0 space_group="Pm-3m, No. 221" vol_a3_per_cell=71 density_g_cm3=6.3 pbc="T T T"
Co 0.000 0.000 0.000
Os -1.360 -2.085 2.591
Li 0.904 -0.383 1.827
Li -1.811 0.312 0.961
Li -0.452 -2.015 -0.198